No. 1
Material: TbGa3NiPd
Method: DFT, PBE
State: relaxed

Output
Symmetry   Cmcm (63)
Crystal system   orthorhombic
DFT total energy   -55.23 eV per cell
Energy of formation from the pure elements   -0.488 eV per atom
M_tot   0.0 μB per cell

Cell lengths 6.847, 6.847, 5.745 Å; angles 90.00, 90.00, 127.94 degrees
Element x y z (fractional)
Tb 0.224 0.776 0.750
Tb 0.776 0.224 0.250
Ga 0.211 0.211 0.000
Ga 0.211 0.211 0.500
Ga 0.358 0.642 0.250
Ga 0.642 0.358 0.750
Ga 0.789 0.789 0.000
Ga 0.789 0.789 0.500
Ni 0.435 0.565 0.750
Ni 0.565 0.435 0.250
Pd 0.153 0.847 0.250
Pd 0.847 0.153 0.750

No. 2
Material: Tb2Ga5Ni2Pd
Method: DFT, PBE
State: relaxed

Output
Symmetry   P4/mbm (127)
Crystal system   tetragonal
DFT total energy   -93.72 eV per cell
Energy of formation from the pure elements   -0.571 eV per atom
M_tot   0.0 μB per cell

Cell lengths 9.212, 9.212, 4.037 Å; angles 90.00, 90.00, 90.00 degrees
Element x y z (fractional)
Tb 0.183 0.317 0.000
Tb 0.317 0.817 0.000
Tb 0.683 0.183 0.000
Tb 0.817 0.683 0.000
Ga 0.000 0.500 0.500
Ga 0.059 0.793 0.500
Ga 0.207 0.059 0.500
Ga 0.293 0.559 0.500
Ga 0.441 0.293 0.500
Ga 0.500 0.000 0.500
Ga 0.559 0.707 0.500
Ga 0.707 0.441 0.500
Ga 0.793 0.941 0.500
Ga 0.941 0.207 0.500
Ni 0.110 0.610 0.000
Ni 0.390 0.110 0.000
Ni 0.610 0.890 0.000
Ni 0.890 0.390 0.000
Pd 0.000 0.000 0.000
Pd 0.500 0.500 0.000

No. 3
Material: Tb2Ga3Ni12Pd
Method: DFT, PBE
State: relaxed

Output
Symmetry   R-3m (166)
Crystal system   trigonal
DFT total energy   -94.64 eV per cell
Energy of formation from the pure elements   -0.096 eV per atom
M_tot   0.0 μB per cell

Cell lengths 6.353, 6.353, 6.353 Å; angles 84.33, 84.33, 84.33 degrees
Element x y z (fractional)
Tb 0.185 0.185 0.185
Tb 0.815 0.815 0.815
Ga 0.000 0.500 0.500
Ga 0.500 0.000 0.500
Ga 0.500 0.500 0.000
Ni 0.097 0.097 0.623
Ni 0.097 0.623 0.097
Ni 0.208 0.699 0.699
Ni 0.301 0.301 0.792
Ni 0.301 0.792 0.301
Ni 0.377 0.903 0.903
Ni 0.623 0.097 0.097
Ni 0.699 0.208 0.699
Ni 0.699 0.699 0.208
Ni 0.792 0.301 0.301
Ni 0.903 0.377 0.903
Ni 0.903 0.903 0.377
Pd 0.500 0.500 0.500

No. 4
Material: TbGaNiPd
Method: DFT, PBE
State: relaxed

Output
Symmetry   F-43m (216)
Crystal system   cubic
DFT total energy   -83.65 eV per cell
Energy of formation from the pure elements   -0.570 eV per atom
M_tot   0.0 μB per cell

Cell lengths 6.502, 6.502, 6.502 Å; angles 90.00, 90.00, 90.00 degrees
Element x y z (fractional)
Tb 0.000 0.000 0.000
Tb 0.000 0.500 0.500
Tb 0.500 0.000 0.500
Tb 0.500 0.500 0.000
Ga 0.000 0.000 0.500
Ga 0.000 0.500 0.000
Ga 0.500 0.000 0.000
Ga 0.500 0.500 0.500
Ni 0.250 0.250 0.750
Ni 0.250 0.750 0.250
Ni 0.750 0.250 0.250
Ni 0.750 0.750 0.750
Pd 0.250 0.250 0.250
Pd 0.250 0.750 0.750
Pd 0.750 0.250 0.750
Pd 0.750 0.750 0.250

No. 5
Material: Tb2Ga4NiPd3
Method: DFT, PBE
State: relaxed

Output
Symmetry   P-4m2 (115)
Crystal system   tetragonal
DFT total energy   -49.91 eV per cell
Energy of formation from the pure elements   -0.719 eV per atom
M_tot   0.0 μB per cell

Cell lengths 4.007, 4.007, 11.364 Å; angles 90.00, 90.00, 90.00 degrees
Element x y z (fractional)
Tb 0.000 0.500 0.245
Tb 0.500 0.000 0.755
Ga 0.000 0.000 0.500
Ga 0.000 0.500 0.871
Ga 0.500 0.000 0.129
Ga 0.500 0.500 0.500
Ni 0.500 0.500 0.000
Pd 0.000 0.000 0.000
Pd 0.000 0.500 0.649
Pd 0.500 0.000 0.351

No. 6
Material: Tb2Ga3Ni4Pd
Method: DFT, PBE
State: relaxed

Output
Symmetry   P-4m2 (115)
Crystal system   tetragonal
DFT total energy   -52.22 eV per cell
Energy of formation from the pure elements   -0.556 eV per atom
M_tot   0.0 μB per cell

Cell lengths 3.846, 3.846, 11.082 Å; angles 90.00, 90.00, 90.00 degrees
Element x y z (fractional)
Tb 0.000 0.500 0.241
Tb 0.500 0.000 0.759
Ga 0.000 0.000 0.000
Ga 0.000 0.500 0.630
Ga 0.500 0.000 0.370
Ni 0.000 0.000 0.500
Ni 0.000 0.500 0.845
Ni 0.500 0.000 0.155
Ni 0.500 0.500 0.500
Pd 0.500 0.500 0.000

No. 7
Material: GaTcNi2Pd
Method: DFT, PBE
State: relaxed

Output
Symmetry   P4/mmm (123)
Crystal system   tetragonal
DFT total energy   -23.83 eV per cell
Energy of formation from the pure elements   1.264 eV per atom
M_tot   4.3 μB per cell

Cell lengths 4.563, 4.563, 4.512 Å; angles 90.00, 90.00, 90.00 degrees
Element x y z (fractional)
Ga 0.000 0.000 0.000
Tc 0.500 0.500 0.000
Ni 0.000 0.500 0.500
Ni 0.500 0.000 0.500
Pd 0.000 0.000 0.500

No. 8
Material: GaNiTe2Pd
Method: DFT, PBE
State: relaxed

Output
Symmetry   P4/mmm (123)
Crystal system   tetragonal
DFT total energy   -19.24 eV per cell
M_tot   0.0 μB per cell

Cell lengths 5.080, 5.080, 4.415 Å; angles 90.00, 90.00, 90.00 degrees
Element x y z (fractional)
Ga 0.000 0.000 0.000
Ni 0.000 0.000 0.500
Te 0.000 0.500 0.500
Te 0.500 0.000 0.500
Pd 0.500 0.500 0.000

No. 9
Material: ThGa4Ni2Pd
Method: DFT, PBE
State: relaxed

Output
Symmetry   R-3m (166)
Crystal system   trigonal
DFT total energy   -40.09 eV per cell
Energy of formation from the pure elements   -0.477 eV per atom
M_tot   0.0 μB per cell

Cell lengths 9.252, 9.252, 9.252 Å; angles 26.02, 26.02, 26.02 degrees
Element x y z (fractional)
Th 0.000 0.000 0.000
Ga 0.126 0.126 0.126
Ga 0.403 0.403 0.403
Ga 0.597 0.597 0.597
Ga 0.874 0.874 0.874
Ni 0.237 0.237 0.237
Ni 0.763 0.763 0.763
Pd 0.500 0.500 0.500

No. 10
Material: Th2Ga3Ni4Pd
Method: DFT, PBE
State: relaxed

Output
Symmetry   P-4m2 (115)
Crystal system   tetragonal
DFT total energy   -57.80 eV per cell
Energy of formation from the pure elements   -0.556 eV per atom
M_tot   0.0 μB per cell

Cell lengths 4.009, 4.009, 10.687 Å; angles 90.00, 90.00, 90.00 degrees
Element x y z (fractional)
Th 0.000 0.500 0.245
Th 0.500 0.000 0.755
Ga 0.000 0.000 0.000
Ga 0.000 0.500 0.622
Ga 0.500 0.000 0.378
Ni 0.000 0.000 0.500
Ni 0.000 0.500 0.848
Ni 0.500 0.000 0.152
Ni 0.500 0.500 0.500
Pd 0.500 0.500 0.000

No. 11
Material: Th2Ga4NiPd3
Method: DFT, PBE
State: relaxed

Output
Symmetry   P-4m2 (115)
Crystal system   tetragonal
DFT total energy   -55.42 eV per cell
Energy of formation from the pure elements   -0.711 eV per atom
M_tot   0.0 μB per cell

Cell lengths 4.329, 4.329, 10.122 Å; angles 90.00, 90.00, 90.00 degrees
Element x y z (fractional)
Th 0.000 0.500 0.242
Th 0.500 0.000 0.758
Ga 0.000 0.000 0.500
Ga 0.000 0.500 0.879
Ga 0.500 0.000 0.121
Ga 0.500 0.500 0.500
Ni 0.500 0.500 0.000
Pd 0.000 0.000 0.000
Pd 0.000 0.500 0.634
Pd 0.500 0.000 0.366

No. 12
Material: ThGaNiPd
Method: DFT, PBE
State: relaxed

Output
Symmetry   F-43m (216)
Crystal system   cubic
DFT total energy   -93.99 eV per cell
Energy of formation from the pure elements   -0.519 eV per atom
M_tot   0.0 μB per cell

Cell lengths 6.708, 6.708, 6.708 Å; angles 90.00, 90.00, 90.00 degrees
Element x y z (fractional)
Th 0.000 0.000 0.000
Th 0.000 0.500 0.500
Th 0.500 0.000 0.500
Th 0.500 0.500 0.000
Ga 0.000 0.000 0.500
Ga 0.000 0.500 0.000
Ga 0.500 0.000 0.000
Ga 0.500 0.500 0.500
Ni 0.250 0.250 0.750
Ni 0.250 0.750 0.250
Ni 0.750 0.250 0.250
Ni 0.750 0.750 0.750
Pd 0.250 0.250 0.250
Pd 0.250 0.750 0.750
Pd 0.750 0.250 0.750
Pd 0.750 0.750 0.250